! LaMoPb2 (GGA-PBE, relaxed); values from VASP
! Space-group type: R-3m, No. 166
! Energy above the most stable polymorph in this dataset: 132.4 meV per atom
! Crystal system: trigonal
! Calculated density: 10.49 g/cm3
! ΔH_f (0 K): 28 kJ per mole of atoms
! Density of states at the Fermi level: 2.345 states/eV/f.u.
&SYSTEM
  ibrav = 0, nat = 4, ntyp = 3
/
ATOMIC_SPECIES
La 138.91 La.upf
Mo 95.94 Mo.upf
Pb 207.20 Pb.upf
CELL_PARAMETERS angstrom
-7.094 0.706 7.296
-4.284 0.338 9.252
-5.174 3.453 8.085
ATOMIC_POSITIONS angstrom
La -4.138 1.124 6.158
Mo -12.415 3.373 18.475
Pb -0.204 0.055 0.304
Pb -8.072 2.193 12.013